Record 1
# DyPaAgPd, relaxed, DFT PBE-GGA
data_DyPaAgPd
_space_group_name_H-M_alt 'F -4 3 m'
_space_group_IT_number 216
_space_group_name_Hall 'F -4 2 3'
_cell_length_a 7.1504
_cell_length_b 7.1504
_cell_length_c 7.1504
_cell_angle_alpha 90.00
_cell_angle_beta 90.00
_cell_angle_gamma 90.00
loop_
_atom_site_label
_atom_site_fract_x
_atom_site_fract_y
_atom_site_fract_z
_atom_site_occupancy
Dy1 0.0000 0.0000 0.0000 1
Pa1 0.0000 0.0000 0.5000 1
Ag1 0.2500 0.2500 0.2500 1
Pd1 0.2500 0.2500 0.7500 1
# ΔH_f (0 K): -0.1970 eV per atom
# calculated volume: 22.85 Å³ per atom

---

Record 2
# DyPaAgPt, relaxed, DFT PBE-GGA
data_DyPaAgPt
_space_group_name_H-M_alt 'F -4 3 m'
_space_group_IT_number 216
_space_group_name_Hall 'F -4 2 3'
_cell_length_a 7.1282
_cell_length_b 7.1282
_cell_length_c 7.1282
_cell_angle_alpha 90.00
_cell_angle_beta 90.00
_cell_angle_gamma 90.00
loop_
_atom_site_label
_atom_site_fract_x
_atom_site_fract_y
_atom_site_fract_z
_atom_site_occupancy
Dy1 0.0000 0.0000 0.0000 1
Pa1 0.0000 0.0000 0.5000 1
Ag1 0.2500 0.2500 0.2500 1
Pt1 0.2500 0.2500 0.7500 1
# ΔH_f (0 K): -0.4149 eV per atom
# calculated volume: 22.64 Å³ per atom

---

Record 3
# DyPaAgS4, relaxed, DFT PBE-GGA
data_DyPaAgS4
_space_group_name_H-M_alt 'I m m a'
_space_group_IT_number 74
_space_group_name_Hall '-I 2b 2'
_cell_length_a 7.9320
_cell_length_b 8.0671
_cell_length_c 11.2962
_cell_angle_alpha 90.00
_cell_angle_beta 90.00
_cell_angle_gamma 90.00
loop_
_atom_site_label
_atom_site_fract_x
_atom_site_fract_y
_atom_site_fract_z
_atom_site_occupancy
Dy1 0.2500 0.2500 0.2500 1
Pa1 0.0000 0.0000 0.0000 1
Ag1 0.0000 0.2500 0.6307 1
S1 0.0000 0.0153 0.2393 1
S2 0.2335 0.2500 0.0064 1
# calculated volume: 25.82 Å³ per atom
# ΔE_f (raw): -1.43 eV/atom